Model one:
NdTm2 | PBE-GGA | optimized geometry

Unit cell a=3.5534 b=3.5534 c=7.9547 alpha=102.91 beta=102.91 gamma=90.00
Last column: nearest neighbours and their distance in Å.
Element x y z (fractional)
1 Nd 0.0000 0.0000 0.0000  4 Nd 3.55, 8 Tm 3.58
2 Tm 0.3310 0.3310 0.6619  8 Tm 3.51-3.55, 4 Nd 3.58
3 Tm 0.6690 0.6690 0.3381  8 Tm 3.51-3.55, 4 Nd 3.58

**Magnetization**: 0.00 μB per cell
**V**: 95 Å³/cell

Model two:
NdTm2 | PBE-GGA | optimized geometry

Unit cell a=6.6391 b=6.6391 c=6.6391 alpha=60.00 beta=60.00 gamma=60.00
Last column: nearest neighbours and their distance in Å.
Element x y z (fractional)
1 Tm 0.6250 0.6250 0.6250  6 Tm 3.32
2 Nd 0.0000 0.0000 0.0000  12 Tm 3.89, 4 Nd 4.07
3 Tm 0.6250 0.1250 0.6250  6 Tm 3.32
4 Nd 0.2500 0.2500 0.2500  12 Tm 3.89, 4 Nd 4.07
5 Tm 0.1250 0.6250 0.6250  6 Tm 3.32
6 Tm 0.6250 0.6250 0.1250  6 Tm 3.32

**Magnetization**: 5.51 μB per cell
**V**: 207 Å³/cell

What should be chosen as the most stable of them? Choose model one.

Model one:
NdTm2 | PBE-GGA | optimized geometry

Unit cell a=3.5573 b=7.1097 c=9.3596 alpha=124.57 beta=100.95 gamma=90.00
Last column: nearest neighbours and their distance in Å.
Element x y z (fractional)
1 Tm 0.5001 0.2553 0.0002  8 Tm 3.48-3.63, 4 Nd 3.56
2 Nd 0.8340 0.7527 0.6680  8 Tm 3.53-3.58, 4 Nd 3.56-3.58
3 Tm 0.8348 0.2501 0.6695  8 Tm 3.50-3.56, 4 Nd 3.53-3.58
4 Nd 0.1660 0.2473 0.3320  8 Tm 3.53-3.58, 4 Nd 3.56-3.58
5 Tm 0.1652 0.7499 0.3305  8 Tm 3.50-3.56, 4 Nd 3.53-3.58
6 Tm 0.4999 0.7447 0.9998  8 Tm 3.48-3.63, 4 Nd 3.56

**Magnetization**: 0.00 μB per cell
**V**: 190 Å³/cell

Model two:
NdTm2 | PBE-GGA | optimized geometry

Unit cell a=3.5790 b=3.5804 c=8.8007 alpha=78.21 beta=90.00 gamma=60.02
Last column: nearest neighbours and their distance in Å.
Element x y z (fractional)
1 Tm 0.2850 0.4412 0.8326  9 Tm 3.45-3.58, 3 Nd 3.55-3.56
2 Nd 0.5053 0.0007 0.4944  6 Tm 3.55-3.56, 6 Nd 3.58
3 Tm 0.7256 0.5602 0.1563  9 Tm 3.45-3.58, 3 Nd 3.55-3.56

**Magnetization**: 0.00 μB per cell
**V**: 95 Å³/cell

What should be chosen as the most stable of them? Choose model two.

Model one:
Nd2Tm | PBE-GGA | optimized geometry

Unit cell a=6.6611 b=6.6611 c=6.6611 alpha=60.00 beta=60.00 gamma=60.00
Last column: nearest neighbours and their distance in Å.
Element x y z (fractional)
1 Tm 0.0000 0.0000 0.0000  12 Nd 3.91, 4 Tm 4.08
2 Nd 0.6250 0.6250 0.1250  6 Nd 3.33
3 Nd 0.1250 0.6250 0.6250  6 Nd 3.33
4 Nd 0.6250 0.6250 0.6250  6 Nd 3.33
5 Tm 0.2500 0.2500 0.2500  12 Nd 3.91, 4 Tm 4.08
6 Nd 0.6250 0.1250 0.6250  6 Nd 3.33

**Magnetization**: 0.00 μB per cell
**V**: 209 Å³/cell

Model two:
Nd2Tm | PBE-GGA | optimized geometry

Unit cell a=9.1241 b=9.1241 c=9.1241 alpha=22.85 beta=22.85 gamma=22.85
Last column: nearest neighbours and their distance in Å.
Element x y z (fractional)
1 Nd 0.2254 0.2254 0.2254  3 Tm 3.55, 9 Nd 3.61-3.76
2 Nd 0.7746 0.7746 0.7746  3 Tm 3.55, 9 Nd 3.61-3.76
3 Tm 0.0000 0.0000 0.0000  6 Nd 3.55, 6 Tm 3.61

**Magnetization**: 0.00 μB per cell
**V**: 100 Å³/cell

Model three:
Nd2Tm | PBE-GGA | optimized geometry

Unit cell a=5.9874 b=6.3336 c=8.7775 alpha=43.25 beta=70.06 gamma=61.79
Last column: nearest neighbours and their distance in Å.
Element x y z (fractional)
1 Nd 0.7423 0.7436 0.7717  5 Tm 3.45-3.66, 5 Nd 3.55-3.75
2 Nd 0.0727 0.1100 0.7447  6 Nd 3.34-3.69, 2 Tm 3.48
3 Nd 0.2577 0.2564 0.2283  5 Tm 3.45-3.66, 5 Nd 3.55-3.75
4 Tm 0.4144 0.4340 0.7372  8 Nd 3.45-3.82, 2 Tm 3.45-3.68
5 Tm 0.5856 0.5660 0.2628  8 Nd 3.45-3.82, 2 Tm 3.45-3.68
6 Nd 0.9273 0.8900 0.2553  6 Nd 3.34-3.69, 2 Tm 3.48

**Magnetization**: 0.00 μB per cell
**V**: 201 Å³/cell

What should be chosen as the most stable of them? Choose model two.

Model one:
NdTm | PBE-GGA | optimized geometry

Unit cell a=3.6690 b=6.2894 c=5.7288 alpha=90.00 beta=90.00 gamma=90.00
Last column: nearest neighbours and their distance in Å.
Element x y z (fractional)
1 Nd 0.0002 0.3295 0.7500  8 Tm 3.56-3.67, 4 Nd 3.58-3.67
2 Tm 0.5001 0.1645 0.2500  4 Tm 3.53-3.67, 8 Nd 3.56-3.67
3 Tm 0.4999 0.8355 0.7500  4 Tm 3.53-3.67, 8 Nd 3.56-3.67
4 Nd 0.9998 0.6705 0.2500  8 Tm 3.56-3.67, 4 Nd 3.58-3.67

**Magnetization**: 0.00 μB per cell
**V**: 132 Å³/cell

Model two:
NdTm | PBE-GGA | optimized geometry

Unit cell a=3.6342 b=3.6342 c=5.7514 alpha=90.00 beta=90.00 gamma=120.00
Last column: nearest neighbours and their distance in Å.
Element x y z (fractional)
1 Nd 0.6667 0.3333 0.5000  6 Tm 3.56, 6 Nd 3.63
2 Tm 0.3333 0.6667 0.0000  6 Nd 3.56, 6 Tm 3.63

**Magnetization**: 0.00 μB per cell
**V**: 66 Å³/cell

Model three:
NdTm | PBE-GGA | optimized geometry

Unit cell a=3.5878 b=3.5884 c=12.9067 alpha=65.36 beta=106.12 gamma=120.00
Last column: nearest neighbours and their distance in Å.
Element x y z (fractional)
1 Tm 0.3531 0.3281 0.1769  9 Tm 3.48-3.59, 3 Nd 3.56
2 Tm 0.7664 0.6766 0.4160  9 Tm 3.48-3.59, 3 Nd 3.56
3 Nd 0.1821 0.0132 0.6639  3 Tm 3.56, 9 Nd 3.59-3.73
4 Nd 0.9367 0.9925 0.9291  3 Tm 3.56, 9 Nd 3.59-3.73

**Magnetization**: 0.00 μB per cell
**V**: 130 Å³/cell

Model four:
NdTm | PBE-GGA | optimized geometry

Unit cell a=4.0392 b=4.0392 c=4.0392 alpha=90.00 beta=90.00 gamma=90.00
Last column: nearest neighbours and their distance in Å.
Element x y z (fractional)
1 Nd 0.5000 0.5000 0.5000  8 Tm 3.50
2 Tm 0.0000 0.0000 0.0000  8 Nd 3.50

**Magnetization**: 0.00 μB per cell
**V**: 66 Å³/cell

What should be chosen as the most stable of them? Choose model one.